VASP calculation (PBE) on LiCaCo2Sn after structural relaxation.

Summary:
Calculated density ... 3.50 g/cm3
Magnetization ... 2.71 μB per formula unit
Density of states at the Fermi level ... 3.44 states/eV/cell
Calculated formation energy ... 0.79 eV/atom
Space group ... No. 123
Energy ... -18.18 eV/f.u.
Volume ... 134.6 Å³/f.u.

abc: 4.853 4.853 5.717
angles: 90.00 90.00 90.00
Positions (direct):
Li  0.000  0.000  0.000
Ca  0.500  0.500  0.000
Co  0.000  0.500  0.500
Co  0.500  0.000  0.500
Sn  0.500  0.500  0.500